Computed, not measured: a relaxed NpGa crystal at the PBE level of DFT.

Geometry as extended XYZ:
```
4
Lattice="-2.4907 -0.4497 0.9813 0.7352 -5.3765 -0.5988 1.6059 1.7947 4.8995" Properties=species:S:1:pos:R:3 pbc="T T T"
Np 1.6240 -2.4847 2.9835
Np -1.7737 -1.5468 2.2985
Ga 0.1674 -0.0209 4.1705
Ga -0.3170 -4.0106 1.1115
```

Summary:
Spin magnetization   0.502 μB/atom
Electronic total energy   -8.08 eV per atom
DOS at the Fermi energy   6.48 states/eV/cell
ρ   13.627 g/cm³
ΔE_f   -19.1 kJ/mol of formula units

Computed, not measured: a relaxed NpGa3 crystal at the PBE level of DFT.

Geometry as extended XYZ:
```
4
Lattice="-3.4486 -2.5016 -0.2101 2.4114 -3.4003 0.9055 -0.6987 0.6135 4.1644" Properties=species:S:1:pos:R:3 pbc="T T T"
Np -2.1319 -0.8929 2.3242
Ga -0.0582 0.0511 0.3471
Ga 0.7982 -1.3423 2.8818
Ga -0.5768 -2.8998 0.6948
```

Summary:
Spin magnetization   0.975 μB/atom
Electronic total energy   -5.71 eV per atom
DOS at the Fermi energy   8.03 states/eV/cell
ρ   9.542 g/cm³
ΔE_f   -77.9 kJ/mol of formula units

Computed, not measured: a relaxed NpGa crystal at the PBE level of DFT.

Geometry as extended XYZ:
```
4
Lattice="-2.1419 1.8481 -0.4313 -2.1384 -1.6972 3.3470 2.1511 4.0729 3.4396" Properties=species:S:1:pos:R:3 pbc="T T T"
Np -0.5119 1.3236 4.5244
Np -1.6171 2.9003 1.8309
Ga -2.3825 0.0710 2.6942
Ga 0.2534 4.1529 3.6611
```

Summary:
Spin magnetization   0.000 μB/atom
Electronic total energy   -8.07 eV per atom
DOS at the Fermi energy   6.68 states/eV/cell
ρ   14.391 g/cm³
ΔE_f   -16.2 kJ/mol of formula units